A plane-wave DFT calculation with PBE was carried out for crystalline Tb4Tl3Ir at its relaxed geometry.

The structure in CIF format:
```
data_Tb4Tl3Ir
_chemical_formula_sum 'Tb4 Tl3 Ir1'
_cell_length_a 3.578
_cell_length_b 3.578
_cell_length_c 16.129
_cell_angle_alpha 90.00
_cell_angle_beta 90.00
_cell_angle_gamma 90.00
_symmetry_space_group_name_H-M 'P 1'
_symmetry_Int_Tables_number 1
_symmetry_space_group_name_Hall 'P 1'
loop_
_atom_site_label
_atom_site_fract_x
_atom_site_fract_y
_atom_site_fract_z
_atom_site_occupancy
Tl1 0.500 0.500 0.239 1
Tl2 0.500 0.500 0.500 1
Tl3 0.500 0.500 0.761 1
Ir1 0.500 0.500 0.000 1
Tb1 0.000 0.000 0.899 1
Tb2 0.000 0.000 0.101 1
Tb3 0.000 0.000 0.368 1
Tb4 0.000 0.000 0.632 1
```

## Properties
For the total energy, the calculation gives -4.79 eV per atom. The magnetic moment is 0.1 Bohr magnetons per cell. The crystal system is tetragonal. The value obtained for the density of states at the Fermi level is 5.60 states/eV per cell. Its space group is P4/mmm, No. 123.